No. 1
A relaxed structure of AgIrOs, computed with PBE.

Cell lengths 4.2469, 4.2469, 4.2469 Å; angles 60.00, 60.00, 60.00 degrees
Closest atoms and distances in Å follow each position.
Fractional coordinates of all 3 atoms:
Ir 0.2500 0.2500 0.2500  4 Ag 2.60, 4 Os 2.60
Os 0.0000 0.0000 0.0000  4 Ir 2.60
Ag 0.5000 0.5000 0.5000  4 Ir 2.60

## Properties
ΔH_f (0 K) in eV per atom: 0.909
Polymorph energy (0 for the lowest one) in kJ/mol of atoms: 57.38

=====

No. 2
A relaxed structure of AgIr2Os, computed with PBE.

Cell lengths 4.8010, 4.8010, 4.8010 Å; angles 131.92, 131.92, 70.35 degrees
Closest atoms and distances in Å follow each position.
Fractional coordinates of all 4 atoms:
Ir 0.0000 0.0000 0.0000  4 Ir 2.77, 4 Os 2.77, 4 Ag 2.77
Ir 0.5000 0.5000 0.0000  4 Ir 2.77, 4 Ag 2.77, 4 Os 2.77
Os 0.2500 0.7500 0.5000  4 Ag 2.77, 8 Ir 2.77
Ag 0.7500 0.2500 0.5000  4 Os 2.77, 8 Ir 2.77

## Properties
ΔH_f (0 K) in eV per atom: 0.470
Polymorph energy (0 for the lowest one) in kJ/mol of atoms: 27.77

=====

No. 3
A relaxed structure of AgIr2Os, computed with PBE.

Cell lengths 2.7350, 4.8680, 5.5213 Å; angles 55.13, 90.00, 90.00 degrees
Closest atoms and distances in Å follow each position.
Fractional coordinates of all 4 atoms:
Ir 0.0000 0.0000 0.0000  6 Ir 2.73-2.79, 2 Ag 2.76, 4 Os 2.78
Ir 0.5000 0.5000 0.0000  6 Ir 2.73-2.79, 2 Os 2.76, 4 Ag 2.78
Os 0.5000 0.5000 0.5000  2 Os 2.73, 6 Ir 2.76-2.78, 4 Ag 2.79
Ag 0.0000 0.0000 0.5000  2 Ag 2.73, 6 Ir 2.76-2.78, 4 Os 2.79

## Properties
ΔH_f (0 K) in eV per atom: 0.507
Polymorph energy (0 for the lowest one) in kJ/mol of atoms: 31.30

=====

No. 4
A relaxed structure of AgIrOsPt2, computed with PBE.

Cell lengths 4.7752, 4.9388, 4.7752 Å; angles 90.00, 90.00, 90.00 degrees
Closest atoms and distances in Å follow each position.
Fractional coordinates of all 5 atoms:
Ir 0.0000 0.0000 0.0000  4 Pt 2.39, 2 Ag 2.47
Os 0.5000 0.5000 0.5000  4 Ag 3.38, 8 Pt 3.43
Ag 0.0000 0.5000 0.0000  2 Ir 2.47
Pt 0.0000 0.0000 0.5000  2 Ir 2.39
Pt 0.5000 0.0000 0.0000  2 Ir 2.39

## Properties
ΔH_f (0 K) in eV per atom: 2.105